1.
Computed, not measured: HoNpPa2N6 after structural relaxation at the PBE level of DFT.

a b c (Å): 5.994 5.994 5.994
angles (deg): 59.52 59.52 59.52
Fractional coordinates of all 10 atoms:
Ho  0.000  0.000  0.000
Np  0.490  0.490  0.490
Pa  0.271  0.271  0.271
Pa  0.775  0.775  0.775
N  0.103  0.656  0.396
N  0.176  0.588  0.874
N  0.396  0.103  0.656
N  0.588  0.874  0.176
N  0.656  0.396  0.103
N  0.874  0.176  0.588

Properties
Crystal system: trigonal
E_form (uncorrected): -1.42 eV per atom

2.
Computed, not measured: Ho2NpPdN4 after structural relaxation at the PBE level of DFT.

a b c (Å): 5.663 3.577 5.689
angles (deg): 90.00 103.18 90.00
Fractional coordinates of all 8 atoms:
Ho  0.000  0.000  0.000
Ho  0.500  0.500  0.000
Np  0.000  0.500  0.500
Pd  0.500  0.000  0.500
N  0.187  0.500  0.235
N  0.255  0.000  0.743
N  0.745  0.000  0.257
N  0.813  0.500  0.765

Properties
Crystal system: monoclinic
E_form (uncorrected): -1.02 eV per atom

3.
Computed, not measured: Pm3Ho2NpN6 after structural relaxation at the PBE level of DFT.

a b c (Å): 6.069 6.069 6.114
angles (deg): 99.52 99.52 120.01
Fractional coordinates of all 12 atoms:
Pm  0.000  0.000  0.000
Pm  0.332  0.668  0.000
Pm  0.668  0.332  0.000
Ho  0.166  0.834  0.500
Ho  0.834  0.166  0.500
Np  0.500  0.500  0.500
N  0.108  0.425  0.274
N  0.260  0.260  0.727
N  0.425  0.108  0.274
N  0.575  0.892  0.726
N  0.740  0.740  0.273
N  0.892  0.575  0.726

Properties
Crystal system: monoclinic
E_form (uncorrected): -1.51 eV per atom

4.
Computed, not measured: PrHo2NpN4 after structural relaxation at the PBE level of DFT.

a b c (Å): 6.782 6.782 10.955
angles (deg): 90.00 90.00 150.70
Fractional coordinates of all 16 atoms:
Pr  0.231  0.769  0.750
Pr  0.769  0.231  0.250
Ho  0.373  0.627  0.013
Ho  0.373  0.627  0.487
Ho  0.627  0.373  0.513
Ho  0.627  0.373  0.987
Np  0.036  0.964  0.250
Np  0.964  0.036  0.750
N  0.000  0.000  0.000
N  0.000  0.000  0.500
N  0.201  0.799  0.110
N  0.201  0.799  0.390
N  0.425  0.575  0.250
N  0.575  0.425  0.750
N  0.799  0.201  0.610
N  0.799  0.201  0.890

Properties
Crystal system: orthorhombic
E_form (uncorrected): -1.20 eV per atom

It is found that the calculated total energy values, taken in the order of the records, are -10.071; -8.599; -8.699; -8.721 eV/atom.